(1)
Compound: Ac8Hg3Ir
Source: the Alexandria database
Functional: PBE-GGA
Structure: relaxed

The structure in POSCAR format:
```
Ac8Hg3Ir
1.0
7.7722 0.0000 0.0000
0.0000 7.7722 0.0000
-3.8861 -3.8861 7.7890
Ir Hg Ac
1 3 8
direct
0.0000 0.0000 0.0000
0.7500 0.2500 0.5000
0.5000 0.5000 0.0000
0.2500 0.7500 0.5000
0.6413 0.6413 0.7617
0.3587 0.8795 0.2383
0.3587 0.3587 0.2383
0.1205 0.1205 0.7617
0.6413 0.1205 0.7617
0.8795 0.3587 0.2383
0.8795 0.8795 0.2383
0.1205 0.6413 0.7617
```

Summary:
Its formation energy is -0.20 eV/atom.

(2)
Compound: CaPt2Rh
Source: the Alexandria database
Functional: PBE-GGA
Structure: relaxed

The structure in POSCAR format:
```
CaPt2Rh
1.0
4.6565 0.0000 0.0000
0.0000 4.6565 0.0000
2.3283 2.3283 8.8524
Rh Ca Pt
2 2 4
direct
0.7500 0.2500 0.5000
0.0000 0.0000 0.0000
0.2500 0.7500 0.5000
0.5000 0.5000 0.0000
0.3750 0.2156 0.7500
0.7844 0.1250 0.2500
0.8750 0.0344 0.7500
0.9656 0.6250 0.2500
```

Summary:
Its formation energy is -0.05 eV/atom.

(3)
Compound: Na2PaAg2O6
Source: the Alexandria database
Functional: PBE-GGA
Structure: relaxed

The structure in POSCAR format:
```
Na2PaAg2O6
1.0
5.7061 0.0000 0.0000
-2.8530 4.9416 0.0000
0.0000 0.0000 5.7822
O Na Ag Pa
6 2 2 1
direct
0.6789 0.6789 0.7860
0.6789 0.0000 0.2140
0.3211 0.3211 0.2140
0.0000 0.6789 0.2140
0.0000 0.3211 0.7860
0.3211 0.0000 0.7860
0.3333 0.6667 0.4999
0.6667 0.3333 0.5001
0.6667 0.3333 0.0001
0.3333 0.6667 0.9999
0.0000 0.0000 0.0000
```

Summary:
For the total energy, the calculation gives -5.8148 eV/atom.

Which formula does entry 2 have?
CaPt2Rh